No. 1
Below is a relaxed structure of Zr5In2Sn, with properties calculated at the PBE level. Values from VASP.

Structure (Quantum ESPRESSO input):
```
&SYSTEM
  ibrav = 0, nat = 16, ntyp = 3
/
ATOMIC_SPECIES
Zr 91.22 Zr.upf
In 114.82 In.upf
Sn 118.71 Sn.upf
CELL_PARAMETERS angstrom
7.6161 0.0000 0.0000
0.0000 7.6161 0.0000
-3.8080 -3.8080 6.3317
ATOMIC_POSITIONS crystal
Zr 0.4955 0.6851 0.6806
Zr 0.8149 0.0045 0.3194
Zr 0.0000 0.0000 0.0000
Zr 0.5000 0.5000 0.0000
Zr 0.1851 0.9955 0.6806
Zr 0.6851 0.1851 0.6806
Zr 0.9955 0.4955 0.6806
Zr 0.3149 0.8149 0.3194
Zr 0.0045 0.5045 0.3194
Zr 0.5045 0.3149 0.3194
In 0.1407 0.3593 0.0000
In 0.6407 0.1407 0.0000
In 0.3593 0.8593 0.0000
In 0.8593 0.6407 0.0000
Sn 0.7500 0.7500 0.5000
Sn 0.2500 0.2500 0.5000
```

Results
Size of the total moment ... 0.000 μB/atom
Space-group type ... I4/mcm
Energy ... -109.21 eV/cell
Density ... 7.3 g cm⁻³


No. 2
Below is a relaxed structure of ZrIn3Sn, with properties calculated at the PBE level. Values from VASP.

Structure (Quantum ESPRESSO input):
```
&SYSTEM
  ibrav = 0, nat = 5, ntyp = 3
/
ATOMIC_SPECIES
Sn 118.71 Sn.upf
Zr 91.22 Zr.upf
In 114.82 In.upf
CELL_PARAMETERS angstrom
-0.0915 0.2387 5.4988
3.6850 -4.0825 0.2385
4.0884 3.6849 -0.0919
ATOMIC_POSITIONS crystal
Sn 0.0000 0.0000 0.0000
Zr 0.5000 0.5000 0.5000
In 0.0000 0.5000 0.0000
In 0.0000 0.0000 0.5000
In 0.5000 0.0000 0.0000
```

Results
Distance to the lowest polymorph of the same formula ... 373 meV per atom
Size of the total moment ... 0.276 μB/atom
Space-group type ... Pm-3m
Density ... 5.5 g cm⁻³


No. 3
Below is a relaxed structure of Zr2InSn2, with properties calculated at the PBE level. Values from VASP.

Structure (Quantum ESPRESSO input):
```
&SYSTEM
  ibrav = 0, nat = 10, ntyp = 3
/
ATOMIC_SPECIES
Sn 118.71 Sn.upf
Zr 91.22 Zr.upf
In 114.82 In.upf
CELL_PARAMETERS angstrom
7.7576 0.0000 0.0000
0.0000 7.7576 0.0000
0.0000 0.0000 3.9559
ATOMIC_POSITIONS crystal
Sn 0.3565 0.8565 0.0000
Sn 0.8565 0.6435 0.0000
Sn 0.6435 0.1435 0.0000
Sn 0.1435 0.3565 0.0000
Zr 0.1539 0.6539 0.5000
Zr 0.6539 0.8461 0.5000
Zr 0.8461 0.3461 0.5000
Zr 0.3461 0.1539 0.5000
In 0.0000 0.0000 0.0000
In 0.5000 0.5000 0.0000
```

Results
Distance to the lowest polymorph of the same formula ... 91 meV per atom
Size of the total moment ... 0.000 μB/atom
Space-group type ... P4/mbm
Density ... 7.5 g cm⁻³


Question: density of number 3 (Zr2InSn2)?
Answer: 7.5 g cm⁻³


Copy entry 3 word for word.
Below is a relaxed structure of Zr2InSn2, with properties calculated at the PBE level. Values from VASP.

Structure (Quantum ESPRESSO input):
```
&SYSTEM
  ibrav = 0, nat = 10, ntyp = 3
/
ATOMIC_SPECIES
Sn 118.71 Sn.upf
Zr 91.22 Zr.upf
In 114.82 In.upf
CELL_PARAMETERS angstrom
7.7576 0.0000 0.0000
0.0000 7.7576 0.0000
0.0000 0.0000 3.9559
ATOMIC_POSITIONS crystal
Sn 0.3565 0.8565 0.0000
Sn 0.8565 0.6435 0.0000
Sn 0.6435 0.1435 0.0000
Sn 0.1435 0.3565 0.0000
Zr 0.1539 0.6539 0.5000
Zr 0.6539 0.8461 0.5000
Zr 0.8461 0.3461 0.5000
Zr 0.3461 0.1539 0.5000
In 0.0000 0.0000 0.0000
In 0.5000 0.5000 0.0000
```

Results
Distance to the lowest polymorph of the same formula ... 91 meV per atom
Size of the total moment ... 0.000 μB/atom
Space-group type ... P4/mbm
Density ... 7.5 g cm⁻³


Question: Which of these has the highest density?
Answer: Zr2InSn2